(1)
The following is a GGA-PBE calculation of HoErHf after structural relaxation, from OQMD.

Calculated values
V in Å³ per cell: 96.9
Space-group type: F-43m, No. 216
Crystal system: cubic
Energy relative to the lowest polymorph listed for this composition in eV/f.u.: 0.00
Formation energy in meV per atom: 855.4

Cell lengths 5.1564, 5.1564, 5.1564 Å; angles 60.00, 60.00, 60.00 degrees
Fractional coordinates of all 3 atoms:
Ho 0.0000 0.0000 0.0000
Er 0.5000 0.5000 0.5000
Hf 0.7500 0.7500 0.7500

(2)
The following is a GGA-PBE calculation of HoErHf2Sb2 after structural relaxation, from OQMD.

Calculated values
V in Å³ per cell: 148.3
Space-group type: I4mm, No. 107
E in eV/cell: -41.46
Crystal system: tetragonal

Cell lengths 8.7449, 8.7449, 8.7449 Å; angles 151.88, 151.88, 40.19 degrees
Fractional coordinates of all 6 atoms:
Ho 0.0000 0.0000 0.0000
Er 0.3520 0.3520 0.0000
Hf 0.1763 0.6763 0.5000
Hf 0.6763 0.1763 0.5000
Sb 0.5435 0.5435 0.0000
Sb 0.8089 0.8089 0.0000